Here is a geometry-optimized Th4Tc2Pb structure from the Alexandria database. Energies are from PBE-GGA. Values from VASP.

Structure (Quantum ESPRESSO input):
```
&SYSTEM
  ibrav = 0, nat = 14, ntyp = 3
/
ATOMIC_SPECIES
Th 232.04 Th.upf
Tc 98.00 Tc.upf
Pb 207.20 Pb.upf
CELL_PARAMETERS angstrom
-0.808 4.057 -1.987
-5.598 -3.534 0.359
-2.698 5.533 12.395
ATOMIC_POSITIONS angstrom
Th -3.969 1.800 -0.010
Th -4.739 3.380 3.528
Th -5.135 4.256 10.777
Th -4.365 2.676 7.239
Th -7.326 4.950 7.785
Th -1.778 1.107 2.982
Th -0.404 2.029 -0.994
Th -1.753 4.795 5.204
Tc -2.486 2.142 5.383
Tc -7.672 6.076 10.224
Tc -1.432 -0.019 0.543
Tc -6.618 3.915 5.384
Pb -3.689 5.862 8.169
Pb -5.415 0.194 2.598
```

* uncorrected energy: -111.26 eV for the cell shown
* E above lowest polymorph: 0 meV per atom
* space-group type: Cmcm
* energy of formation: -0.2160 eV/atom

***

Here is a geometry-optimized HgIrSe2 structure from the Alexandria database. Energies are from PBE-GGA. Values from VASP.

Structure (Quantum ESPRESSO input):
```
&SYSTEM
  ibrav = 0, nat = 4, ntyp = 3
/
ATOMIC_SPECIES
Hg 200.59 Hg.upf
Ir 192.22 Ir.upf
Se 78.96 Se.upf
CELL_PARAMETERS angstrom
-0.200 0.737 -4.676
3.801 -2.589 1.140
-0.190 -4.272 -2.044
ATOMIC_POSITIONS angstrom
Hg 1.806 -3.430 -0.452
Ir 1.800 -0.926 -1.768
Se 0.000 0.000 0.000
Se -0.195 -1.768 -3.360
```

* uncorrected energy: -14.28 eV for the cell shown
* formation energy without anion corrections: 463 meV per atom
* space-group type: I4/mmm

***

Here is a geometry-optimized CoIr9Ru2 structure from the Alexandria database. Energies are from PBE-GGA. Values from VASP.

Structure (Quantum ESPRESSO input):
```
&SYSTEM
  ibrav = 0, nat = 12, ntyp = 3
/
ATOMIC_SPECIES
Co 58.93 Co.upf
Ir 192.22 Ir.upf
Ru 101.07 Ru.upf
CELL_PARAMETERS angstrom
3.836 0.000 0.000
0.000 3.836 0.000
0.000 0.000 11.517
ATOMIC_POSITIONS angstrom
Co 0.000 0.000 0.000
Ir 1.918 1.918 0.000
Ir 1.918 1.918 3.841
Ir 1.918 1.918 7.676
Ir 1.918 0.000 1.894
Ir 1.918 0.000 5.758
Ir 1.918 0.000 9.623
Ir 0.000 1.918 1.894
Ir 0.000 1.918 5.758
Ir 0.000 1.918 9.623
Ru 0.000 0.000 3.781
Ru 0.000 0.000 7.736
```

* uncorrected energy: -105.65 eV for the cell shown
* space-group type: P4/mmm
* energy of formation: -0.0200 eV/atom

***

Here is a geometry-optimized ScCd2As structure from the Alexandria database. Energies are from PBE-GGA. Values from VASP.

Structure (Quantum ESPRESSO input):
```
&SYSTEM
  ibrav = 0, nat = 8, ntyp = 3
/
ATOMIC_SPECIES
Sc 44.96 Sc.upf
As 74.92 As.upf
Cd 112.41 Cd.upf
CELL_PARAMETERS angstrom
8.309 0.000 0.000
0.000 8.309 0.000
4.155 4.155 2.689
ATOMIC_POSITIONS angstrom
Sc 4.155 4.155 0.000
Sc 4.155 8.309 1.345
As 0.000 0.000 0.000
As 8.309 4.155 1.345
Cd 6.586 2.077 0.672
Cd 1.723 6.232 0.672
Cd 6.232 5.878 2.017
Cd 10.386 10.741 2.017
```

* uncorrected energy: -27.84 eV for the cell shown
* space-group type: I-42d
* energy of formation: -0.2768 eV/atom